Below is a geometry-optimized LiH4Pd8 structure, with properties calculated at the PBE level.

Structure (POSCAR):
```
LiH4Pd8
1.0
2.857 0.000 0.000
1.405 7.509 0.000
1.400 2.814 7.010
Li H Pd
1 4 8
Cartesian
0.000 0.000 0.000
1.429 4.470 1.147
2.846 6.847 2.915
2.815 3.476 4.095
4.232 5.853 5.863
1.414 5.952 2.266
1.414 0.999 2.321
2.819 6.901 4.731
1.416 2.470 0.017
4.245 7.853 6.993
2.843 3.422 2.279
4.247 9.324 4.689
4.247 4.371 4.744
```

Space group: No. 2

Below is a geometry-optimized LiHPd3 structure, with properties calculated at the PBE level.

Structure (POSCAR):
```
LiHPd3
1.0
2.437 1.407 6.648
-2.437 1.407 6.648
0.000 -2.814 6.648
Li H Pd
2 2 6
Cartesian
0.000 0.000 3.323
0.000 0.000 16.622
0.000 0.000 7.201
0.000 0.000 12.745
-0.822 -1.440 7.865
-1.657 -0.008 12.080
-0.836 1.431 7.865
0.836 -1.431 12.080
1.657 0.008 7.865
0.822 1.440 12.080
```

Excess energy over the best structure of this formula in the dataset: 0.191 eV per atom
Space group: No. 148

Below is a geometry-optimized Li2H4Pd5 structure, with properties calculated at the PBE level.

Structure (POSCAR):
```
Li2H4Pd5
1.0
4.895 0.000 0.000
2.376 4.522 0.000
0.072 0.948 5.297
Li H Pd
2 4 5
Cartesian
0.664 1.132 0.389
6.679 4.338 4.908
2.217 4.082 1.966
2.517 0.525 1.006
4.827 4.945 4.291
5.126 1.388 3.331
1.224 2.735 2.648
3.641 4.357 3.091
3.119 2.103 4.706
4.224 3.368 0.591
3.703 1.113 2.206
```

Excess energy over the best structure of this formula in the dataset: 0.038 eV per atom
Space group: No. 2

| no. | calculated total energy (eV per atom) | magnetization (μB/cell) |
| --- | --- | --- |
| 1 | -4.512 | 0.000 |
| 2 | -4.268 | 0.000 |
| 3 | -4.135 | 0.000 |